No. 1
## Si2GeP (PBE)

Data for a geometry-optimized Si2GeP structure.

a b c (Å): 4.4661 4.4661 4.4661
angles (deg): 60.00 60.00 60.00
Last column: nearest neighbours and their distance in Å.
Sites, in units of the cell vectors:
P 0.0000 0.0000 0.0000  8 Si 2.73
Ge 0.5000 0.5000 0.5000  8 Si 2.73
Si 0.2500 0.2500 0.2500  4 P 2.73, 4 Ge 2.73
Si 0.7500 0.7500 0.7500  4 P 2.73, 4 Ge 2.73

Output
- formation energy without anion corrections (eV/atom) = 0.558
- energy relative to the lowest polymorph listed for this composition (kJ/mol of atoms) = 40.2
- space-group type = No. 225

=====

No. 2
## MgOs3Ru (PBE)

Data for a geometry-optimized MgOs3Ru structure.

a b c (Å): 4.6756 4.6756 4.6756
angles (deg): 90.00 90.00 90.00
Last column: nearest neighbours and their distance in Å.
Sites, in units of the cell vectors:
Ru 0.0000 0.0000 0.0000  6 Os 2.34
Mg 0.5000 0.5000 0.5000  12 Os 3.31
Os 0.0000 0.5000 0.0000  2 Ru 2.34
Os 0.0000 0.0000 0.5000  2 Ru 2.34
Os 0.5000 0.0000 0.0000  2 Ru 2.34

Output
- ΔH_f (0 K) (meV/atom) = 1956.3
- energy relative to the lowest polymorph listed for this composition (kJ/mol of atoms) = 0.0
- space-group type = No. 221

=====

No. 3
## CaZrO3 (PBE)

Data for a geometry-optimized CaZrO3 structure.

a b c (Å): 5.6337 5.6335 6.0736
angles (deg): 62.36 62.37 60.00
Last column: nearest neighbours and their distance in Å.
Sites, in units of the cell vectors:
Ca 0.6389 0.6389 0.0834  6 O 2.34-2.46
Ca 0.3611 0.3611 0.9166  6 O 2.34-2.46
O 0.5556 0.9669 0.2684  2 Zr 2.07-2.22
O 0.2091 0.5556 0.2684  2 Zr 2.07-2.22
O 0.0331 0.7909 0.7316  2 Zr 2.07-2.22
O 0.9669 0.2091 0.2684  2 Zr 2.07-2.22
O 0.7909 0.4444 0.7316  2 Zr 2.07-2.22
O 0.4444 0.0331 0.7316  2 Zr 2.07-2.22
Zr 0.8515 0.8516 0.4453  6 O 2.07-2.22
Zr 0.1485 0.1484 0.5547  6 O 2.07-2.22

Output
- formation energy without anion corrections (eV/atom) = -3.251
- space-group type = No. 148

=====

No. 4
## ZnFe2Si (PBE)

Data for a geometry-optimized ZnFe2Si structure.

a b c (Å): 6.3177 4.0016 2.8130
angles (deg): 89.99 63.58 129.27
Last column: nearest neighbours and their distance in Å.
Sites, in units of the cell vectors:
Fe 0.0000 0.0000 0.0000  4 Si 2.45, 4 Zn 2.45
Fe 0.5000 0.0000 0.5000  4 Zn 2.45, 4 Si 2.45
Si 0.0000 0.5000 0.5000  8 Fe 2.45
Zn 0.5000 0.5000 0.0000  8 Fe 2.45

Output
- formation energy without anion corrections (eV/atom) = -0.118
- space-group type = No. 123

=====

No. 5
## InSn3Au (PBE)

Data for a geometry-optimized InSn3Au structure.

a b c (Å): 5.4284 5.4284 5.4284
angles (deg): 90.00 90.00 90.00
Last column: nearest neighbours and their distance in Å.
Sites, in units of the cell vectors:
Au 0.0000 0.0000 0.0000  6 Sn 2.71
Sn 0.0000 0.5000 0.0000  2 Au 2.71
Sn 0.0000 0.0000 0.5000  2 Au 2.71
Sn 0.5000 0.0000 0.0000  2 Au 2.71
In 0.5000 0.5000 0.5000  12 Sn 3.84

Output
- ΔH_f (0 K) (meV/atom) = 290.1
- energy relative to the lowest polymorph listed for this composition (kJ/mol of atoms) = 32.6
- space-group type = No. 221

=====

No. 6
## Mg2CdFeP (PBE)

Data for a geometry-optimized Mg2CdFeP structure.

a b c (Å): 4.9970 4.1285 4.9970
angles (deg): 90.00 90.00 90.00
Last column: nearest neighbours and their distance in Å.
Sites, in units of the cell vectors:
P 0.0000 0.5000 0.0000  2 Fe 2.06
Mg 0.0000 0.0000 0.5000  2 Fe 2.50
Mg 0.5000 0.0000 0.0000  2 Fe 2.50
Fe 0.0000 0.0000 0.0000  2 P 2.06
Cd 0.5000 0.5000 0.5000  8 Mg 3.24, 4 P 3.53

Output
- ΔH_f (0 K) (meV/atom) = 41.2
- space-group type = No. 123

=====

No. 7
## TiB2Ru5W2 (PBE)

Data for a geometry-optimized TiB2Ru5W2 structure.

a b c (Å): 2.9331 9.3612 9.3612
angles (deg): 90.00 90.00 90.00
Last column: nearest neighbours and their distance in Å.
Sites, in units of the cell vectors:
Ti 0.0000 0.0000 0.0000  8 Ru 2.58
Ti 0.0000 0.5000 0.5000  8 Ru 2.58
B 0.0000 0.1242 0.6242  6 Ru 2.16-2.20
B 0.0000 0.8758 0.3758  6 Ru 2.16-2.20
B 0.0000 0.6242 0.8758  6 Ru 2.16-2.20
B 0.0000 0.3758 0.1242  6 Ru 2.16-2.20
Ru 0.5000 0.2153 0.0695  2 B 2.16
Ru 0.5000 0.7847 0.9305  2 B 2.16
Ru 0.5000 0.0695 0.7847  2 B 2.16
Ru 0.5000 0.7153 0.4305  2 B 2.16
Ru 0.5000 0.9305 0.2153  2 B 2.16
Ru 0.5000 0.2847 0.5695  2 B 2.16
Ru 0.5000 0.5695 0.7153  2 B 2.16
Ru 0.5000 0.4305 0.2847  2 B 2.16
Ru 0.5000 0.5000 0.0000  4 B 2.20
Ru 0.5000 0.0000 0.5000  4 B 2.20
W 0.0000 0.6783 0.1783  3 B 2.61-2.88, 10 Ru 2.78-2.92
W 0.0000 0.3217 0.8217  3 B 2.61-2.88, 10 Ru 2.78-2.92
W 0.0000 0.1783 0.3217  3 B 2.61-2.88, 10 Ru 2.78-2.92
W 0.0000 0.8217 0.6783  3 B 2.61-2.88, 10 Ru 2.78-2.92

Output
- ΔH_f (0 K) (meV/atom) = -339.1
- space-group type = No. 127

=====

No. 8
## GaSiH2 (PBE)

Data for a geometry-optimized GaSiH2 structure.

a b c (Å): 4.4366 4.4853 6.4735
angles (deg): 95.57 94.00 119.05
Last column: nearest neighbours and their distance in Å.
Sites, in units of the cell vectors:
Ga 0.6497 0.3254 0.5333  3 Ga 2.53-2.81, 2 Si 2.55-2.77, 1 H 2.68
Ga 0.3503 0.6746 0.4667  3 Ga 2.53-2.81, 2 Si 2.55-2.77, 1 H 2.68
Si 0.8876 0.5308 0.1594  2 H 1.50
Si 0.1124 0.4692 0.8406  2 H 1.50
H 0.1365 0.1457 0.8348  1 Si 1.50
H 0.8635 0.8543 0.1652  1 Si 1.50
H 0.4795 0.7650 0.8853  1 Si 1.50
H 0.5205 0.2350 0.1147  1 Si 1.50

Output
- energy relative to the lowest polymorph listed for this composition (kJ/mol of atoms) = 0.0
- space-group type = No. 2

=====

no.,volume (Å³ per cell),DFT total energy (eV/atom)
1,63.0,-4.6599
2,102.2,-6.9556
3,141.0,-8.3356
4,45.0,-6.0239
5,160.0,-3.3148
6,103.1,-3.5541
7,257.0,-9.6927
8,111.1,-3.6495